FeGeP2Cl | PBE | optimized geometry

Geometry as CIF:
```
data_FeGeP2Cl
_cell_length_a 4.265
_cell_length_b 4.265
_cell_length_c 5.137
_cell_angle_alpha 90.00
_cell_angle_beta 90.00
_cell_angle_gamma 90.00
_space_group_name_H-M_alt 'P 4/m m m'
_space_group_IT_number 123
_space_group_name_Hall '-P 4 2'
loop_
_atom_site_label
_atom_site_fract_x
_atom_site_fract_y
_atom_site_fract_z
_atom_site_occupancy
Fe1 0.000 0.000 0.000 1
Ge1 0.500 0.500 0.500 1
P1 0.000 0.500 0.000 1
Cl1 0.000 0.000 0.500 1
```

uncorrected energy: -4.748 eV per atom
formation energy from raw total energies: 0.4013 eV/atom